No. 1
Entry from Alexandria: a geometry-optimized UCrFe structure (GGA-PBE).

The structure in POSCAR format:
```
UCrFe
1.0
-3.122 3.952 0.614
-4.228 -2.770 0.438
4.213 -0.226 2.819
U Cr Fe
2 2 2
Direct
0.112 0.862 0.250
0.888 0.138 0.750
0.500 0.500 0.500
0.500 0.000 0.000
0.500 0.500 0.000
0.000 0.500 0.500
```

energy = -9.794 eV/atom
total magnetization = 0.0 μB per cell
formation enthalpy at 0 K = 0.00 eV per atom
offset from the most stable computed form = 0.00 kcal/mol of atoms

No. 2
Entry from Alexandria: a geometry-optimized UCrFe structure (GGA-PBE).

The structure in POSCAR format:
```
UCrFe
1.0
-0.113 -1.530 -2.316
-2.042 -1.525 1.106
-2.692 5.031 -1.525
Cr U Fe
1 1 1
Direct
0.690 0.690 0.380
0.000 0.000 0.000
0.310 0.310 0.620
```

energy = -9.661 eV/atom
total magnetization = 0.0 μB per cell
formation enthalpy at 0 K = 0.13 eV per atom
offset from the most stable computed form = 3.07 kcal/mol of atoms

No. 3
Entry from Alexandria: a geometry-optimized UCrFe4 structure (GGA-PBE).

The structure in POSCAR format:
```
UCrFe4
1.0
4.849 0.000 0.000
2.424 4.199 0.000
2.424 1.400 3.959
Cr U Fe
1 1 4
Direct
0.250 0.250 0.250
0.000 0.000 0.000
0.624 0.624 0.129
0.624 0.129 0.624
0.624 0.624 0.624
0.129 0.624 0.624
```

energy = -8.969 eV/atom
total magnetization = 8.2 μB per cell
formation enthalpy at 0 K = 0.16 eV per atom

No. 4
Entry from Alexandria: a geometry-optimized UCrFe structure (GGA-PBE).

The structure in POSCAR format:
```
UCrFe
1.0
3.980 0.000 0.000
0.000 2.789 0.000
0.000 1.394 7.722
Fe U Cr
2 2 2
Direct
0.750 0.454 0.091
0.250 0.546 0.909
0.750 0.305 0.391
0.250 0.695 0.609
0.750 0.089 0.822
0.250 0.911 0.178
```

energy = -9.581 eV/atom
total magnetization = 1.1 μB per cell
formation enthalpy at 0 K = 0.21 eV per atom
offset from the most stable computed form = 4.91 kcal/mol of atoms

No. 5
Entry from Alexandria: a geometry-optimized VCr14Fe structure (GGA-PBE).

The structure in POSCAR format:
```
VCr14Fe
1.0
4.945 0.165 0.000
-1.787 4.614 0.000
0.000 0.000 8.108
V Cr Fe
1 14 1
Direct
0.625 0.375 0.500
0.125 0.875 0.000
0.625 0.375 0.000
0.125 0.375 0.500
0.125 0.375 0.000
0.625 0.875 0.500
0.625 0.875 0.000
0.376 0.126 0.753
0.376 0.126 0.247
0.874 0.624 0.753
0.874 0.624 0.247
0.373 0.627 0.749
0.373 0.627 0.251
0.877 0.123 0.749
0.877 0.123 0.251
0.125 0.875 0.500
```

energy = -9.522 eV/atom
total magnetization = 0.7 μB per cell
formation enthalpy at 0 K = 0.00 eV per atom

No. 6
Entry from Alexandria: a geometry-optimized V12Cr5Fe2 structure (GGA-PBE).

The structure in POSCAR format:
```
V12Cr5Fe2
1.0
5.962 0.000 0.000
-2.981 6.330 1.106
0.000 -0.798 6.441
V Cr Fe
12 5 2
Direct
0.867 0.735 0.087
0.052 0.615 0.800
0.563 0.615 0.800
0.155 0.776 0.383
0.621 0.776 0.383
0.456 0.912 0.705
0.544 0.088 0.295
0.845 0.224 0.617
0.379 0.224 0.617
0.948 0.385 0.200
0.437 0.385 0.200
0.133 0.265 0.913
0.246 0.491 0.506
0.341 0.681 0.090
0.000 0.000 0.500
0.659 0.319 0.910
0.754 0.509 0.494
0.733 0.000 0.000
0.267 0.000 0.000
```

energy = -8.994 eV/atom
total magnetization = 0.0 μB per cell
formation enthalpy at 0 K = 0.19 eV per atom

No. 7
Entry from Alexandria: a geometry-optimized V12CrFe6 structure (GGA-PBE).

The structure in POSCAR format:
```
V12CrFe6
1.0
6.611 -0.538 -0.644
-1.534 6.453 -0.644
-1.534 -1.787 6.234
V Cr Fe
12 1 6
Direct
0.893 0.682 0.604
0.604 0.893 0.682
0.682 0.604 0.893
0.107 0.318 0.396
0.396 0.107 0.318
0.318 0.396 0.107
0.998 0.856 0.320
0.144 0.680 0.002
0.680 0.002 0.144
0.002 0.144 0.680
0.856 0.320 0.998
0.320 0.998 0.856
0.000 0.000 0.000
0.594 0.767 0.312
0.688 0.406 0.233
0.233 0.688 0.406
0.406 0.233 0.688
0.312 0.594 0.767
0.767 0.312 0.594
```

energy = -8.816 eV/atom
total magnetization = 0.0 μB per cell
formation enthalpy at 0 K = 0.12 eV per atom

No. 8
Entry from Alexandria: a geometry-optimized VCr2Fe structure (GGA-PBE).

The structure in POSCAR format:
```
VCr2Fe
1.0
-1.634 -2.009 3.297
2.307 -2.439 -0.343
2.082 1.681 2.056
Cr Fe V
2 1 1
Direct
0.000 0.000 0.500
0.000 0.500 0.000
0.500 0.500 0.500
0.500 0.000 0.000
```

energy = -9.078 eV/atom
total magnetization = 1.4 μB per cell
formation enthalpy at 0 K = 0.13 eV per atom
offset from the most stable computed form = 2.07 kcal/mol of atoms

No. 9
Entry from Alexandria: a geometry-optimized V8CrFe3 structure (GGA-PBE).

The structure in POSCAR format:
```
V8CrFe3
1.0
4.838 0.000 -2.737
-1.548 4.584 -2.737
0.609 0.848 6.721
V Cr Fe
8 1 3
Direct
0.875 0.376 0.251
0.376 0.376 0.251
0.125 0.125 0.749
0.624 0.125 0.749
0.376 0.875 0.251
0.875 0.875 0.251
0.624 0.624 0.749
0.125 0.624 0.749
0.000 0.000 0.000
0.250 0.750 0.500
0.500 0.500 0.000
0.750 0.250 0.500
```

energy = -8.605 eV/atom
total magnetization = 0.0 μB per cell
formation enthalpy at 0 K = 0.39 eV per atom

No. 10
Entry from Alexandria: a geometry-optimized VCrFe structure (GGA-PBE).

The structure in POSCAR format:
```
VCrFe
1.0
-1.269 -1.571 -1.272
0.354 -1.651 1.686
-5.229 3.634 2.967
Cr Fe V
1 1 1
Direct
0.947 0.947 0.894
0.778 0.778 0.556
0.125 0.125 0.250
```

energy = -8.426 eV/atom
total magnetization = 1.9 μB per cell
formation enthalpy at 0 K = 0.64 eV per atom
offset from the most stable computed form = 17.17 kcal/mol of atoms

No. 11
Entry from Alexandria: a geometry-optimized V12Cr6Fe structure (GGA-PBE).

The structure in POSCAR format:
```
V12Cr6Fe
1.0
6.234 0.543 0.651
-0.408 6.244 0.651
-0.408 -0.475 6.260
V Cr Fe
12 6 1
Direct
0.813 0.521 0.420
0.420 0.813 0.521
0.521 0.420 0.813
0.187 0.479 0.580
0.580 0.187 0.479
0.479 0.580 0.187
0.060 0.138 0.382
0.862 0.618 0.940
0.618 0.940 0.862
0.940 0.862 0.618
0.138 0.382 0.060
0.382 0.060 0.138
0.742 0.881 0.262
0.738 0.258 0.119
0.119 0.738 0.258
0.258 0.119 0.738
0.262 0.742 0.881
0.881 0.262 0.742
0.000 0.000 0.000
```

energy = -9.112 eV/atom
total magnetization = 0.0 μB per cell
formation enthalpy at 0 K = 0.13 eV per atom

No. 12
Entry from Alexandria: a geometry-optimized V6Cr5Fe structure (GGA-PBE).

The structure in POSCAR format:
```
V6Cr5Fe
1.0
-1.658 2.380 2.878
-1.453 -4.709 3.056
6.984 1.400 -0.023
Cr Fe V
5 1 6
Direct
0.666 0.166 0.331
0.334 0.334 0.667
0.000 0.500 0.000
0.666 0.666 0.333
0.334 0.834 0.669
0.000 0.000 0.000
0.834 0.584 0.667
0.834 0.084 0.667
0.500 0.749 0.000
0.500 0.251 0.000
0.166 0.916 0.333
0.166 0.416 0.333
```

energy = -9.404 eV/atom
total magnetization = 0.0 μB per cell
formation enthalpy at 0 K = -0.13 eV per atom